# 1
! Sr2LiNiCl (PBE-GGA, optimized geometry); values from VASP
! * DOS(E_F): 2.80 states/eV/f.u.
! * space-group type: P4/mmm (123)
! * energy relative to the elements, uncorrected: -0.418 eV/atom
&SYSTEM
  ibrav = 0, nat = 5, ntyp = 4
/
ATOMIC_SPECIES
Ni 58.69 Ni.upf
Li 6.94 Li.upf
Sr 87.62 Sr.upf
Cl 35.45 Cl.upf
ATOMIC_POSITIONS angstrom
Ni 0.0000 0.0000 0.0000
Li 0.6426 -1.4169 1.6168
Sr -0.4366 -2.2283 -1.7792
Sr -2.7292 -0.1949 0.9138
Cl -2.5232 -3.8401 0.7514
CELL_PARAMETERS angstrom
-0.8732 -4.4565 -3.5585
1.2851 -2.8338 3.2336
-5.4583 -0.3898 1.8276

# 2
! RbH3S3 (PBE-GGA, optimized geometry); values from VASP
! * uncorrected energy: -3.384 eV/atom
! * DOS(E_F): 2.49 states/eV/f.u.
! * space-group type: R-3 (148)
&SYSTEM
  ibrav = 0, nat = 14, ntyp = 3
/
ATOMIC_SPECIES
H 1.01 H.upf
S 32.06 S.upf
Rb 85.47 Rb.upf
ATOMIC_POSITIONS angstrom
H -8.4790 -4.4641 -0.1070
S -5.1277 -3.1476 -1.8800
S -10.1651 -4.6446 -2.5382
H -6.8138 -3.3281 -4.3112
S -8.8026 -1.6095 -2.8777
H -7.6527 -1.5652 -2.1705
H -5.8764 -3.3840 -0.7809
H -7.6402 -6.2270 -2.2477
S -6.4902 -6.1827 -1.5405
Rb -3.6955 -5.7905 -3.2882
H -9.4164 -4.4082 -3.6372
S -6.5610 -4.6405 -4.5069
Rb -11.5973 -2.0018 -1.1300
S -8.7319 -3.1518 0.0888
CELL_PARAMETERS angstrom
-2.7614 -2.7194 -5.3365
-2.7576 -5.9779 0.3976
-9.7738 0.9051 0.5207

# 3
! Y2Tm15Th2 (PBE-GGA, optimized geometry); values from VASP
! * formation energy: 0.281 eV per atom
! * DOS(E_F): 29.32 states/eV/f.u.
! * space-group type: R-3m (166)
&SYSTEM
  ibrav = 0, nat = 19, ntyp = 3
/
ATOMIC_SPECIES
Th 232.04 Th.upf
Tm 168.93 Tm.upf
Y 88.91 Y.upf
ATOMIC_POSITIONS angstrom
Th 14.6384 0.0000 6.4662
Tm 3.9579 -1.6594 5.5481
Tm 9.1367 -2.6930 2.3361
Tm 7.2520 0.0000 6.6029
Tm 3.9579 1.6594 5.5481
Tm 5.4838 3.8398 2.0935
Tm 8.8350 0.0000 0.5031
Y 10.9653 0.0000 4.8436
Tm 6.9502 2.6930 4.7699
Tm 5.4838 -3.8398 2.0935
Tm 3.3226 2.7496 -0.2678
Tm 6.9502 -2.6930 4.7699
Y 5.1216 0.0000 2.2624
Tm 1.3983 0.0000 4.0886
Th 1.4485 0.0000 0.6399
Tm 9.1367 2.6930 2.3361
Tm 6.6452 2.1804 -0.5356
Tm 3.3226 -2.7496 -0.2678
Tm 6.6452 -2.1804 -0.5356
CELL_PARAMETERS angstrom
6.6452 -5.4992 -0.5356
6.6452 5.4992 -0.5356
2.7965 0.0000 8.1772

# 4
! Sr3Sb2Pd6 (PBE-GGA, optimized geometry); values from VASP
! * DOS(E_F): 6.22 states/eV/f.u.
! * space-group type: Im-3m (229)
! * energy relative to the elements, uncorrected: -0.682 eV/atom
&SYSTEM
  ibrav = 0, nat = 22, ntyp = 3
/
ATOMIC_SPECIES
Pd 106.42 Pd.upf
Sr 87.62 Sr.upf
Sb 121.76 Sb.upf
ATOMIC_POSITIONS angstrom
Pd 1.3373 2.3163 3.7824
Pd 4.0119 2.3163 0.0000
Pd -2.7486 4.7608 0.8933
Pd 0.0000 4.6325 0.0000
Pd 4.0859 2.4445 2.8892
Pd 4.1600 2.3163 -2.8892
Sr -2.8715 4.9735 4.0609
Sr 2.8715 4.9735 -4.0609
Sb 4.0859 0.0000 -1.4446
Pd 0.0741 4.7608 2.8892
Sb 2.0430 3.5385 1.4446
Pd -0.0741 4.7608 -2.8892
Sr 2.4289 0.0000 1.7175
Pd 2.6746 0.0000 4.8851
Pd 2.7486 4.7608 -0.8932
Sr 1.2145 2.1035 -1.7175
Pd 5.4973 0.0000 0.8932
Pd -1.3373 2.3163 4.8851
Sb 0.0000 0.0000 4.3338
Sr -1.2145 2.1035 1.7175
Sb -2.0430 3.5385 -1.4446
Sr 5.7429 0.0000 4.0609
CELL_PARAMETERS angstrom
8.1718 0.0000 -2.8892
-4.0859 7.0770 -2.8892
0.0000 0.0000 8.6675

What are the ρ values for these records? In order: 3.07, 1.80, 8.59, 7.59 g cm⁻³.